DFT (PBE+U) results for a geometry-optimized Tl3V2InO8 structure.

Unit cell a=5.967 b=5.967 c=7.788 alpha=90.00 beta=90.00 gamma=120.00
Fractional positions:
O: 0.829 0.171 0.668
O: 0.667 0.333 0.955
O: 0.829 0.659 0.668
O: 0.171 0.829 0.332
O: 0.171 0.341 0.332
O: 0.333 0.667 0.045
O: 0.341 0.171 0.668
O: 0.659 0.829 0.332
Tl: 0.000 0.000 0.000
Tl: 0.667 0.333 0.286
Tl: 0.333 0.667 0.714
V: 0.333 0.667 0.262
V: 0.667 0.333 0.738
In: 0.000 0.000 0.500

Properties
crystal system: trigonal
magnetization: 0.00 μB/cell
calculated total energy: -85.570 eV/f.u.